# TaPt3Pb

A geometry-optimized TaPt3Pb structure (PBE, the Alexandria database).

Cell and atoms, written as POSCAR:
```
TaPt3Pb
1.0
-0.8474 -2.2620 4.3251
2.8918 -3.7691 -1.4046
3.9321 2.2844 1.9652
Ta Pt Pb
1 3 1
direct
0.0000 0.0000 0.0000
0.5000 0.0000 0.0000
0.0000 0.0000 0.5000
0.0000 0.5000 0.0000
0.5000 0.5000 0.5000
```

Distance to the lowest polymorph of the same formula = 0.0 meV per atom
Total DFT energy (no corrections) = -31.20 eV/cell
Energy of formation = 0.497 eV per atom
Symmetry = Pm-3m, No. 221